Version 1
First-principles (PBE-GGA) data for a geometry-optimized AlCdFeTe4 structure, as listed in OQMD via LeMat-Bulk.

Summary:
**Spin magnetization**: 1.0 μB per formula unit

a = 8.288 Å, b = 8.288 Å, c = 11.149 Å
α = 90.00°, β = 90.00°, γ = 90.00°
Each line ends with the local moment (μB).
Element x y z (fractional)
Al1 0.731 0.269 0.125  -0.01
Al2 0.731 0.731 0.375  -0.01
Al3 0.269 0.731 0.625  -0.01
Al4 0.269 0.269 0.875  -0.01
Cd1 0.000 0.770 0.000  0.00
Cd2 0.230 0.000 0.250  0.00
Cd3 0.000 0.230 0.500  0.00
Cd4 0.770 0.000 0.750  0.00
Fe1 0.500 0.748 0.000  0.98
Fe2 0.252 0.500 0.250  0.99
Fe3 0.500 0.252 0.500  1.01
Fe4 0.748 0.500 0.750  1.07
Te1 0.720 0.980 0.017  0.02
Te2 0.274 0.532 0.019  -0.01
Te3 0.468 0.726 0.231  -0.02
Te4 0.020 0.280 0.233  0.00
Te5 0.020 0.720 0.267  0.00
Te6 0.468 0.274 0.269  -0.02
Te7 0.274 0.468 0.481  -0.01
Te8 0.720 0.020 0.483  0.01
Te9 0.280 0.020 0.517  0.01
Te10 0.726 0.468 0.519  -0.01
Te11 0.532 0.274 0.731  -0.02
Te12 0.980 0.720 0.733  0.00
Te13 0.980 0.280 0.767  0.00
Te14 0.532 0.726 0.769  -0.01
Te15 0.726 0.532 0.981  -0.01
Te16 0.280 0.980 0.983  0.01

---

Version 2
First-principles (PBE-GGA) data for a geometry-optimized AlCdFeTe4 structure, as listed in OQMD via LeMat-Bulk.

Summary:
**Spin magnetization**: 3.6 μB per formula unit

a = 8.282 Å, b = 8.282 Å, c = 11.647 Å
α = 90.00°, β = 90.00°, γ = 90.00°
Each line ends with the local moment (μB).
Element x y z (fractional)
Al1 0.000 0.253 0.000  0.01
Al2 0.747 0.000 0.250  0.01
Al3 0.000 0.747 0.500  0.01
Al4 0.253 0.000 0.750  0.01
Cd1 0.500 0.251 0.000  0.02
Cd2 0.749 0.500 0.250  0.02
Cd3 0.500 0.749 0.500  0.02
Cd4 0.251 0.500 0.750  0.02
Fe1 0.243 0.757 0.125  2.98
Fe2 0.243 0.243 0.375  2.98
Fe3 0.757 0.243 0.625  3.01
Fe4 0.757 0.757 0.875  2.99
Te1 0.764 0.007 0.008  0.06
Te2 0.237 0.495 0.008  0.05
Te3 0.505 0.763 0.242  0.03
Te4 0.993 0.236 0.242  0.03
Te5 0.993 0.764 0.258  0.03
Te6 0.505 0.237 0.258  0.03
Te7 0.237 0.505 0.492  0.05
Te8 0.764 0.993 0.492  0.05
Te9 0.236 0.993 0.508  0.05
Te10 0.763 0.505 0.508  0.04
Te11 0.495 0.237 0.742  0.03
Te12 0.007 0.764 0.742  0.04
Te13 0.007 0.236 0.758  0.03
Te14 0.495 0.763 0.758  0.03
Te15 0.763 0.495 0.992  0.05
Te16 0.236 0.007 0.992  0.04

---

Version 3
First-principles (PBE-GGA) data for a geometry-optimized AlCdFeTe4 structure, as listed in OQMD via LeMat-Bulk.

Summary:
**Spin magnetization**: 1.0 μB per formula unit

a = 8.188 Å, b = 8.188 Å, c = 11.495 Å
α = 90.00°, β = 90.00°, γ = 90.00°
Each line ends with the local moment (μB).
Element x y z (fractional)
Al1 0.500 0.752 0.000  0.00
Al2 0.248 0.500 0.250  -0.01
Al3 0.500 0.248 0.500  0.00
Al4 0.752 0.500 0.750  -0.01
Cd1 0.756 0.244 0.125  0.00
Cd2 0.756 0.756 0.375  0.00
Cd3 0.244 0.756 0.625  0.00
Cd4 0.244 0.244 0.875  0.00
Fe1 0.000 0.754 0.000  1.02
Fe2 0.246 0.000 0.250  1.05
Fe3 0.000 0.246 0.500  1.02
Fe4 0.754 0.000 0.750  1.05
Te1 0.234 0.537 0.005  0.00
Te2 0.234 0.971 0.023  -0.01
Te3 0.029 0.766 0.227  -0.02
Te4 0.463 0.766 0.245  -0.01
Te5 0.463 0.234 0.255  0.00
Te6 0.029 0.234 0.273  -0.01
Te7 0.234 0.029 0.477  -0.01
Te8 0.234 0.463 0.495  0.00
Te9 0.766 0.463 0.505  0.00
Te10 0.766 0.029 0.523  -0.01
Te11 0.971 0.234 0.727  -0.02
Te12 0.537 0.234 0.745  -0.01
Te13 0.537 0.766 0.755  -0.01
Te14 0.971 0.766 0.773  -0.01
Te15 0.766 0.971 0.977  -0.01
Te16 0.766 0.537 0.995  0.00

---

Name the most stable of them. version 3.

---

Version 1
First-principles (PBE-GGA) data for a geometry-optimized AlCdGaO4 structure, as listed in OQMD via LeMat-Bulk.

a = 6.027 Å, b = 6.027 Å, c = 8.490 Å
α = 90.00°, β = 90.00°, γ = 90.00°
Element x y z (fractional)
Al1 0.500 0.741 0.000
Al2 0.259 0.500 0.250
Al3 0.500 0.259 0.500
Al4 0.741 0.500 0.750
Cd1 0.754 0.246 0.125
Cd2 0.754 0.754 0.375
Cd3 0.246 0.754 0.625
Cd4 0.246 0.246 0.875
Ga1 0.000 0.741 0.000
Ga2 0.259 0.000 0.250
Ga3 0.000 0.259 0.500
Ga4 0.741 0.000 0.750
O1 0.259 0.954 0.014
O2 0.260 0.530 0.023
O3 0.470 0.740 0.227
O4 0.046 0.741 0.236
O5 0.046 0.259 0.264
O6 0.470 0.260 0.273
O7 0.260 0.470 0.477
O8 0.259 0.046 0.486
O9 0.741 0.046 0.514
O10 0.740 0.470 0.523
O11 0.530 0.260 0.727
O12 0.954 0.259 0.736
O13 0.954 0.741 0.764
O14 0.530 0.740 0.773
O15 0.740 0.530 0.977
O16 0.741 0.954 0.986

---

Version 2
First-principles (PBE-GGA) data for a geometry-optimized AlCdGaO4 structure, as listed in OQMD via LeMat-Bulk.

a = 6.035 Å, b = 6.035 Å, c = 8.321 Å
α = 90.00°, β = 90.00°, γ = 90.00°
Element x y z (fractional)
Al1 0.500 0.747 0.000
Al2 0.253 0.500 0.250
Al3 0.500 0.253 0.500
Al4 0.747 0.500 0.750
Cd1 0.000 0.753 0.000
Cd2 0.247 0.000 0.250
Cd3 0.000 0.247 0.500
Cd4 0.753 0.000 0.750
Ga1 0.737 0.263 0.125
Ga2 0.737 0.737 0.375
Ga3 0.263 0.737 0.625
Ga4 0.263 0.263 0.875
O1 0.283 0.510 0.019
O2 0.713 0.985 0.026
O3 0.015 0.287 0.224
O4 0.490 0.717 0.231
O5 0.490 0.283 0.269
O6 0.015 0.713 0.276
O7 0.713 0.015 0.474
O8 0.283 0.490 0.481
O9 0.717 0.490 0.519
O10 0.287 0.015 0.526
O11 0.985 0.713 0.724
O12 0.510 0.283 0.731
O13 0.510 0.717 0.769
O14 0.985 0.287 0.776
O15 0.287 0.985 0.974
O16 0.717 0.510 0.981

---

Version 3
First-principles (PBE-GGA) data for a geometry-optimized AlCdGaO4 structure, as listed in OQMD via LeMat-Bulk.

a = 6.030 Å, b = 6.030 Å, c = 8.402 Å
α = 90.00°, β = 90.00°, γ = 90.00°
Element x y z (fractional)
Al1 0.237 0.764 0.125
Al2 0.237 0.237 0.375
Al3 0.764 0.237 0.625
Al4 0.764 0.764 0.875
Cd1 0.500 0.257 0.000
Cd2 0.743 0.500 0.250
Cd3 0.500 0.743 0.500
Cd4 0.257 0.500 0.750
Ga1 0.000 0.253 0.000
Ga2 0.747 0.000 0.250
Ga3 0.000 0.747 0.500
Ga4 0.253 0.000 0.750
O1 0.776 0.000 0.012
O2 0.220 0.502 0.024
O3 0.498 0.780 0.226
O4 0.000 0.224 0.238
O5 0.000 0.776 0.262
O6 0.498 0.220 0.274
O7 0.220 0.498 0.476
O8 0.776 0.000 0.488
O9 0.224 0.000 0.512
O10 0.780 0.498 0.524
O11 0.502 0.220 0.726
O12 0.000 0.776 0.738
O13 0.000 0.224 0.762
O14 0.502 0.780 0.774
O15 0.780 0.502 0.976
O16 0.224 0.000 0.988

---

Name the most stable of them. version 1.

---

Version 1
First-principles (PBE-GGA) data for a geometry-optimized GdAl2Cd structure, as listed in OQMD via LeMat-Bulk.

Summary:
**Spin magnetization**: 0.0 μB per formula unit

a = 4.764 Å, b = 6.556 Å, c = 6.556 Å
α = 123.78°, β = 90.00°, γ = 90.00°
Element x y z (fractional)
Al1 0.250 0.868 0.152
Al2 0.250 0.308 0.168
Al3 0.750 0.168 0.308
Al4 0.750 0.152 0.868
Cd1 0.250 0.831 0.678
Cd2 0.750 0.678 0.831
Gd1 0.750 0.677 0.318
Gd2 0.250 0.318 0.677

---

Version 2
First-principles (PBE-GGA) data for a geometry-optimized GdAl2Cd structure, as listed in OQMD via LeMat-Bulk.

Summary:
**Spin magnetization**: 0.0 μB per formula unit

a = 6.268 Å, b = 6.268 Å, c = 4.857 Å
α = 90.00°, β = 90.00°, γ = 117.35°
Element x y z (fractional)
Al1 0.298 0.143 0.250
Al2 0.857 0.702 0.250
Al3 0.143 0.298 0.750
Al4 0.702 0.857 0.750
Cd1 0.835 0.165 0.250
Cd2 0.165 0.835 0.750
Gd1 0.344 0.656 0.250
Gd2 0.656 0.344 0.750

---

Name the most stable of them. version 1.

---

Version 1
First-principles (PBE-GGA) data for a geometry-optimized AlCdInS4 structure, as listed in OQMD via LeMat-Bulk.

a = 7.549 Å, b = 7.549 Å, c = 10.604 Å
α = 90.00°, β = 90.00°, γ = 90.00°
Element x y z (fractional)
Al1 0.000 0.238 0.000
Al2 0.762 0.000 0.250
Al3 0.000 0.762 0.500
Al4 0.238 0.000 0.750
Cd1 0.252 0.748 0.125
Cd2 0.252 0.252 0.375
Cd3 0.748 0.252 0.625
Cd4 0.748 0.748 0.875
In1 0.500 0.237 0.000
In2 0.763 0.500 0.250
In3 0.500 0.763 0.500
In4 0.237 0.500 0.750
S1 0.766 0.464 0.002
S2 0.767 0.015 0.020
S3 0.985 0.233 0.230
S4 0.536 0.234 0.248
S5 0.536 0.766 0.252
S6 0.985 0.767 0.270
S7 0.767 0.985 0.480
S8 0.766 0.536 0.498
S9 0.234 0.536 0.502
S10 0.233 0.985 0.520
S11 0.015 0.767 0.730
S12 0.464 0.766 0.748
S13 0.464 0.234 0.752
S14 0.015 0.233 0.770
S15 0.233 0.015 0.980
S16 0.234 0.464 0.998

---

Version 2
First-principles (PBE-GGA) data for a geometry-optimized AlCdInS4 structure, as listed in OQMD via LeMat-Bulk.

a = 7.547 Å, b = 7.547 Å, c = 10.614 Å
α = 90.00°, β = 90.00°, γ = 90.00°
Element x y z (fractional)
Al1 0.242 0.758 0.125
Al2 0.242 0.242 0.375
Al3 0.758 0.242 0.625
Al4 0.758 0.758 0.875
Cd1 0.500 0.261 0.000
Cd2 0.739 0.500 0.250
Cd3 0.500 0.739 0.500
Cd4 0.261 0.500 0.750
In1 0.000 0.262 0.000
In2 0.738 0.000 0.250
In3 0.000 0.738 0.500
In4 0.262 0.000 0.750
S1 0.755 0.008 0.002
S2 0.246 0.506 0.004
S3 0.494 0.754 0.246
S4 0.992 0.245 0.248
S5 0.992 0.755 0.252
S6 0.494 0.246 0.254
S7 0.246 0.494 0.496
S8 0.755 0.992 0.498
S9 0.245 0.992 0.502
S10 0.754 0.494 0.504
S11 0.506 0.246 0.746
S12 0.008 0.755 0.748
S13 0.008 0.245 0.752
S14 0.506 0.754 0.754
S15 0.754 0.506 0.996
S16 0.245 0.008 0.998

---

Version 3
First-principles (PBE-GGA) data for a geometry-optimized AlCdInS4 structure, as listed in OQMD via LeMat-Bulk.

a = 7.589 Å, b = 7.589 Å, c = 10.493 Å
α = 90.00°, β = 90.00°, γ = 90.00°
Element x y z (fractional)
Al1 0.500 0.748 0.000
Al2 0.252 0.500 0.250
Al3 0.500 0.252 0.500
Al4 0.748 0.500 0.750
Cd1 0.000 0.749 0.000
Cd2 0.251 0.000 0.250
Cd3 0.000 0.251 0.500
Cd4 0.749 0.000 0.750
In1 0.744 0.256 0.125
In2 0.744 0.744 0.375
In3 0.256 0.744 0.625
In4 0.256 0.256 0.875
S1 0.731 0.971 0.006
S2 0.270 0.521 0.019
S3 0.479 0.730 0.231
S4 0.029 0.269 0.244
S5 0.029 0.731 0.256
S6 0.479 0.270 0.269
S7 0.270 0.479 0.481
S8 0.731 0.029 0.494
S9 0.269 0.029 0.506
S10 0.730 0.479 0.519
S11 0.521 0.270 0.731
S12 0.971 0.731 0.744
S13 0.971 0.269 0.756
S14 0.521 0.730 0.769
S15 0.730 0.521 0.981
S16 0.269 0.971 0.994

---

Name the most stable of them. version 1.